CaTi3Zn | GGA-PBE | optimized geometry

The structure in extended XYZ format:
```
5
Lattice="4.7019 0.0000 0.0000 0.0000 4.7019 0.0000 0.0000 0.0000 4.7019" Properties=species:S:1:pos:R:3 pbc="T T T"
Ca 0.0000 0.0000 0.0000
Ti 0.0000 0.0000 2.3509
Ti 0.0000 2.3509 0.0000
Ti 2.3509 0.0000 0.0000
Zn 2.3509 2.3509 2.3509
```

## Properties
ΔE_f   1.70 eV per atom
Polymorph energy (0 for the lowest one)   1009 meV/atom
Fermi-level density of states   1.4367 states/eV/atom